The following is a GGA-PBEsol calculation of a relaxed structure of CdHgPb, from the Alexandria database.

Calculated values
Its theoretical density is 11.7 g/cm3. As for the crystal system: orthorhombic. Its space group is Imm2 (44). Its formation energy is 0.0299 eV per atom.

Structure (POSCAR):
```
CdHgPb
1.0
3.4059 0.0000 0.0000
0.0000 3.6625 0.0000
0.0000 0.0000 11.8618
Cd Hg Pb
2 2 2
direct
0.0000 0.0000 0.0000 Cd
0.5000 0.5000 0.5000 Cd
0.0000 0.0000 0.6426 Hg
0.5000 0.5000 0.1426 Hg
0.0000 0.0000 0.3218 Pb
0.5000 0.5000 0.8218 Pb
```

The following is a GGA-PBEsol calculation of a relaxed structure of YMg2Au, from the Alexandria database.

Calculated values
Its theoretical density is 6.7 g/cm3. As for the crystal system: tetragonal. Its space group is I-4m2 (119). Its formation energy is -0.4586 eV per atom.

Structure (POSCAR):
```
YMg2Au
1.0
4.9077 0.0000 0.0000
0.0000 4.9077 0.0000
0.0000 0.0000 6.9145
Y Mg Au
2 4 2
direct
0.0000 0.0000 0.0000 Y
0.5000 0.5000 0.5000 Y
0.0000 0.0000 0.5000 Mg
0.0000 0.5000 0.2500 Mg
0.5000 0.0000 0.7500 Mg
0.5000 0.5000 0.0000 Mg
0.0000 0.5000 0.7500 Au
0.5000 0.0000 0.2500 Au
```

The following is a GGA-PBEsol calculation of a relaxed structure of NaMnC3, from the Alexandria database.

Calculated values
Its theoretical density is 2.9 g/cm3. As for the crystal system: cubic. Its space group is Pm-3m (221). Its formation energy is 3.7113 eV per atom.

Structure (POSCAR):
```
NaMnC3
1.0
4.0274 0.0000 0.0000
0.0000 4.0274 0.0000
0.0000 0.0000 4.0274
Na Mn C
1 1 3
direct
0.0000 0.0000 0.0000 Na
0.5000 0.5000 0.5000 Mn
0.0000 0.0000 0.5000 C
0.0000 0.5000 0.0000 C
0.5000 0.0000 0.0000 C
```

The following is a GGA-PBEsol calculation of a relaxed structure of LiCa2La, from the Alexandria database.

Calculated values
Its theoretical density is 2.8 g/cm3. As for the crystal system: tetragonal. Its space group is P4mm (99). Its formation energy is 0.0917 eV per atom.

Structure (POSCAR):
```
LiCa2La
1.0
3.8382 0.0000 0.0000
0.0000 3.8382 0.0000
0.0000 0.0000 9.1492
Li Ca La
1 2 1
direct
0.0000 0.0000 0.0000 Li
0.0000 0.0000 0.5016 Ca
0.5000 0.5000 0.2050 Ca
0.5000 0.5000 0.7875 La
```

The following is a GGA-PBEsol calculation of a relaxed structure of TmHfRu2, from the Alexandria database.

Calculated values
Its theoretical density is 13.4 g/cm3. As for the crystal system: cubic. Its space group is Fm-3m (225). Its formation energy is -0.5870 eV per atom.

Structure (POSCAR):
```
TmHfRu2
1.0
6.4880 0.0000 0.0000
0.0000 6.4880 0.0000
0.0000 0.0000 6.4880
Tm Hf Ru
4 4 8
direct
0.0000 0.0000 0.0000 Tm
0.0000 0.5000 0.5000 Tm
0.5000 0.0000 0.5000 Tm
0.5000 0.5000 0.0000 Tm
0.0000 0.0000 0.5000 Hf
0.0000 0.5000 0.0000 Hf
0.5000 0.0000 0.0000 Hf
0.5000 0.5000 0.5000 Hf
0.2500 0.2500 0.2500 Ru
0.2500 0.2500 0.7500 Ru
0.2500 0.7500 0.2500 Ru
0.2500 0.7500 0.7500 Ru
0.7500 0.2500 0.2500 Ru
0.7500 0.2500 0.7500 Ru
0.7500 0.7500 0.2500 Ru
0.7500 0.7500 0.7500 Ru
```

The following is a GGA-PBEsol calculation of a relaxed structure of Ba2Ge2Te, from the Alexandria database.

Calculated values
Its theoretical density is 5.3 g/cm3. As for the crystal system: tetragonal. For the formation energy without anion corrections, the calculation gives -0.527 eV per atom. Its space group is I4/mmm (139).

Structure (POSCAR):
```
Ba2Ge2Te
1.0
6.3369 0.0000 0.0000
0.0000 6.3369 0.0000
0.0000 0.0000 8.4670
Ba Ge Te
4 4 2
direct
0.0000 0.5000 0.2500 Ba
0.0000 0.5000 0.7500 Ba
0.5000 0.0000 0.2500 Ba
0.5000 0.0000 0.7500 Ba
0.0000 0.0000 0.1381 Ge
0.0000 0.0000 0.8619 Ge
0.5000 0.5000 0.3619 Ge
0.5000 0.5000 0.6381 Ge
0.0000 0.0000 0.5000 Te
0.5000 0.5000 0.0000 Te
```

The following is a GGA-PBEsol calculation of a relaxed structure of Na7Zr4Si5PO24, from the Alexandria database.

Calculated values
Its theoretical density is 3.3 g/cm3. As for the crystal system: triclinic. For the formation energy without anion corrections, the calculation gives -2.767 eV per atom. Its space group is P1 (1).

Structure (POSCAR):
```
Na7Zr4Si5PO24
1.0
9.1297 0.0000 0.0000
4.5456 7.9212 0.0000
4.5524 2.4971 7.5185
Na Zr Si P O
7 4 5 1 24
direct
0.0000 0.0000 0.0000 Na
0.0975 0.5962 0.8330 Na
0.2904 0.4143 0.2063 Na
0.4386 0.9164 0.6690 Na
0.5396 0.3099 0.4272 Na
0.6480 0.7000 0.1798 Na
0.7988 0.1963 0.6534 Na
0.1975 0.9485 0.4891 Zr
0.3951 0.1507 0.8677 Zr
0.6950 0.4556 0.9820 Zr
0.8918 0.6618 0.3689 Zr
0.0972 0.2695 0.6619 Si
0.2969 0.7699 0.1644 Si
0.5090 0.5527 0.6665 Si
0.5804 0.0582 0.1860 Si
0.7921 0.8389 0.6897 Si
0.9915 0.3416 0.1898 P
0.0231 0.1931 0.3603 O
0.0619 0.4300 0.4839 O
0.0954 0.0844 0.6740 O
0.1126 0.7438 0.2093 O
0.1467 0.2919 0.0232 O
0.2875 0.2339 0.6694 O
0.2922 0.8345 0.3051 O
0.3278 0.9254 0.9700 O
0.3286 0.7281 0.6557 O
0.4104 0.0394 0.3717 O
0.4603 0.5779 0.1659 O
0.4659 0.3794 0.7111 O
0.5265 0.0850 0.0261 O
0.5582 0.5318 0.8270 O
0.6166 0.2333 0.1493 O
0.6316 0.0317 0.6927 O
0.6798 0.5677 0.4815 O
0.7610 0.8818 0.1939 O
0.7662 0.6805 0.8818 O
0.7877 0.7826 0.5475 O
0.8093 0.3743 0.1881 O
0.9308 0.3146 0.8405 O
0.9781 0.8652 0.6364 O
0.9939 0.5184 0.1734 O
```

The following is a GGA-PBEsol calculation of a relaxed structure of CrOs3, from the Alexandria database.

Calculated values
Its theoretical density is 19.3 g/cm3. As for the crystal system: orthorhombic. Its space group is Pmm2 (25). Its formation energy is 0.0048 eV per atom.

Structure (POSCAR):
```
CrOs3
1.0
2.7077 0.0000 0.0000
0.0000 4.2540 0.0000
0.0000 0.0000 4.6510
Cr Os
1 3
direct
0.0000 0.0000 0.0000 Cr
0.0000 0.5000 0.3290 Os
0.5000 0.0000 0.5016 Os
0.5000 0.5000 0.8427 Os
```